## Ba3NaSb (PBEsol)

Data for an optimized crystal structure of Ba3NaSb.

POSCAR file:
```
Ba3NaSb
1.0
6.131 0.000 0.000
0.000 6.131 0.000
0.000 0.000 6.131
Ba Na Sb
3 1 1
Direct
0.000 0.000 0.500
0.000 0.500 0.000
0.500 0.000 0.000
0.000 0.000 0.000
0.500 0.500 0.500
```

Calculated values
As for the crystal system: cubic. As for the formation energy from raw total energies: 211 meV per atom. The raw total energy comes out at -2.27 eV per atom. As for the symmetry: Pm-3m.